The following is a GGA-PBE calculation of crystalline LaRe2W at its relaxed geometry, from the Alexandria database.

Values from the calculation:
Its crystal system is orthorhombic. The value obtained for the formation energy from the elements is 832 meV/atom. The value obtained for the raw total energy is -39.450 eV per cell. For the excess energy over the best structure of this formula in the dataset, the calculation gives 0.4957 eV per atom.

```
data_LaRe2W
_chemical_formula_sum 'La1 Re2 W1'
_cell_length_a 3.205
_cell_length_b 4.740
_cell_length_c 4.795
_cell_angle_alpha 90.00
_cell_angle_beta 90.00
_cell_angle_gamma 90.00
_space_group_name_H-M_alt 'P m m m'
_space_group_IT_number 47
_space_group_name_Hall '-P 2 2'
loop_
_atom_site_label
_atom_site_fract_x
_atom_site_fract_y
_atom_site_fract_z
La1 0.000 0.000 0.000
Re1 0.000 0.500 0.500
Re2 0.500 0.000 0.500
W1 0.500 0.500 0.000
```

***

The following is a GGA-PBE calculation of crystalline CrHI2N at its relaxed geometry, from the Alexandria database.

Values from the calculation:
Its crystal system is tetragonal. The value obtained for the raw total energy is -16.377 eV per cell. For the excess energy over the best structure of this formula in the dataset, the calculation gives 1.0418 eV per atom.

```
data_CrHI2N
_chemical_formula_sum 'Cr1 H1 I2 N1'
_cell_length_a 5.197
_cell_length_b 5.197
_cell_length_c 3.077
_cell_angle_alpha 90.00
_cell_angle_beta 90.00
_cell_angle_gamma 90.00
_space_group_name_H-M_alt 'P 4/m m m'
_space_group_IT_number 123
_space_group_name_Hall '-P 4 2'
loop_
_atom_site_label
_atom_site_fract_x
_atom_site_fract_y
_atom_site_fract_z
Cr1 0.000 0.000 0.000
H1 0.500 0.500 0.500
I1 0.000 0.500 0.500
N1 0.500 0.500 0.000
```

***

The following is a GGA-PBE calculation of crystalline Bi2PdN2 at its relaxed geometry, from the Alexandria database.

Values from the calculation:
Its crystal system is triclinic. The energy relative to the elements, uncorrected comes out at -43 meV/atom. The value obtained for the raw total energy is -29.821 eV per cell.

```
data_Bi2PdN2
_chemical_formula_sum 'Bi2 Pd1 N2'
_cell_length_a 3.463
_cell_length_b 3.472
_cell_length_c 13.304
_cell_angle_alpha 87.03
_cell_angle_beta 85.75
_cell_angle_gamma 60.92
_space_group_name_H-M_alt 'P -1'
_space_group_IT_number 2
_space_group_name_Hall '-P 1'
loop_
_atom_site_label
_atom_site_fract_x
_atom_site_fract_y
_atom_site_fract_z
Bi1 0.204 0.175 0.346
Pd1 0.500 0.500 0.500
N1 0.473 0.489 0.960
```

***

The following is a GGA-PBE calculation of crystalline PmNd3Er7 at its relaxed geometry, from the Alexandria database.

Values from the calculation:
Its crystal system is triclinic. The value obtained for the formation energy from the elements is 152 meV/atom. The value obtained for the raw total energy is -49.318 eV per cell. For the excess energy over the best structure of this formula in the dataset, the calculation gives 0.0000 eV per atom.

```
data_PmNd3Er7
_chemical_formula_sum 'Pm1 Nd3 Er7'
_cell_length_a 5.516
_cell_length_b 6.970
_cell_length_c 10.020
_cell_angle_alpha 69.77
_cell_angle_beta 89.95
_cell_angle_gamma 89.93
_space_group_name_H-M_alt 'P -1'
_space_group_IT_number 2
_space_group_name_Hall '-P 1'
loop_
_atom_site_label
_atom_site_fract_x
_atom_site_fract_y
_atom_site_fract_z
Pm1 0.000 0.000 0.000
Nd1 0.000 0.500 0.000
Nd2 0.499 0.783 0.501
Er1 0.000 0.083 0.330
Er2 0.000 0.500 0.500
Er3 0.500 0.180 0.139
Er4 0.500 0.355 0.789
```